No. 1
# NdFeSi (GGA-PBE, optimized geometry)
# Symmetry = No. 189
# VASP energy = -0.23792 hartree per atom
data_NdFeSi
_cell_length_a 6.8225
_cell_length_b 6.8225
_cell_length_c 4.1802
_cell_angle_alpha 90.00
_cell_angle_beta 90.00
_cell_angle_gamma 120.00
_symmetry_space_group_name_H-M 'P 1'
_symmetry_Int_Tables_number 1
loop_
_symmetry_equiv_pos_as_xyz
'x,y,z'
loop_
_atom_site_label
_atom_site_fract_x
_atom_site_fract_y
_atom_site_fract_z
_atom_site_occupancy
Nd1 0.0000 0.5749 0.0000 1
Nd2 0.4251 0.4251 0.0000 1
Nd3 0.5749 0.0000 0.0000 1
Fe1 0.0000 0.2006 0.5000 1
Fe2 0.2006 0.0000 0.5000 1
Fe3 0.7994 0.7994 0.5000 1
Si1 0.0000 0.0000 0.0000 1
Si2 0.3333 0.6667 0.5000 1
Si3 0.6667 0.3333 0.5000 1


No. 2
# Ho2Al3Ga3 (GGA-PBE, optimized geometry)
# Relative energy among the computed polymorphs = 0.006 eV/atom
# Symmetry = No. 38
# VASP energy = -0.15275 hartree per atom
data_Ho2Al3Ga3
_cell_length_a 4.5802
_cell_length_b 6.2372
_cell_length_c 6.2372
_cell_angle_alpha 60.12
_cell_angle_beta 90.00
_cell_angle_gamma 90.00
_symmetry_space_group_name_H-M 'P 1'
_symmetry_Int_Tables_number 1
loop_
_symmetry_equiv_pos_as_xyz
'x,y,z'
loop_
_atom_site_label
_atom_site_fract_x
_atom_site_fract_y
_atom_site_fract_z
_atom_site_occupancy
Ho1 0.0000 0.0000 0.0000 1
Ho2 0.5000 0.3337 0.3337 1
Al1 0.0000 0.5204 0.5204 1
Al2 0.5000 0.3726 0.8146 1
Al3 0.5000 0.8146 0.3726 1
Ga1 0.0000 0.5171 0.9647 1
Ga2 0.0000 0.9647 0.5171 1
Ga3 0.5000 0.8161 0.8161 1


No. 3
# SrErAgTe2S (GGA-PBE, optimized geometry)
# Symmetry = No. 63
# VASP energy = -0.16766 hartree per atom
data_SrErAgTe2S
_cell_length_a 7.6067
_cell_length_b 7.6067
_cell_length_c 10.5867
_cell_angle_alpha 90.00
_cell_angle_beta 90.00
_cell_angle_gamma 147.00
_symmetry_space_group_name_H-M 'P 1'
_symmetry_Int_Tables_number 1
loop_
_symmetry_equiv_pos_as_xyz
'x,y,z'
loop_
_atom_site_label
_atom_site_fract_x
_atom_site_fract_y
_atom_site_fract_z
_atom_site_occupancy
Sr1 0.2279 0.7721 0.7500 1
Sr2 0.7721 0.2279 0.2500 1
Er1 0.5000 0.5000 0.0000 1
Er2 0.5000 0.5000 0.5000 1
Ag1 0.0193 0.9807 0.2500 1
Ag2 0.9807 0.0193 0.7500 1
Te1 0.1462 0.8538 0.0540 1
Te2 0.1462 0.8538 0.4460 1
Te3 0.8538 0.1462 0.5540 1
Te4 0.8538 0.1462 0.9460 1
S1 0.4238 0.5762 0.2500 1
S2 0.5762 0.4238 0.7500 1


No. 4
# CuAgSbMo (GGA-PBE, optimized geometry)
# Relative energy among the computed polymorphs = 0.000 eV/atom
# Symmetry = No. 216
# VASP energy = -0.18161 hartree per atom
data_CuAgSbMo
_cell_length_a 4.5819
_cell_length_b 4.5819
_cell_length_c 4.5819
_cell_angle_alpha 60.00
_cell_angle_beta 60.00
_cell_angle_gamma 60.00
_symmetry_space_group_name_H-M 'P 1'
_symmetry_Int_Tables_number 1
loop_
_symmetry_equiv_pos_as_xyz
'x,y,z'
loop_
_atom_site_label
_atom_site_fract_x
_atom_site_fract_y
_atom_site_fract_z
_atom_site_occupancy
Cu1 0.0000 0.0000 0.0000 1
Ag1 0.2500 0.2500 0.2500 1
Sb1 0.7500 0.7500 0.7500 1
Mo1 0.5000 0.5000 0.5000 1


Question: Which value of VASP energy does entry 3 give?
Answer: -0.16766 hartree per atom


Question: What is the formula in the fourth record?
Answer: CuAgSbMo


Question: The lowest VASP energy belongs to which entry?
Answer: NdFeSi


Copy entry 2 word for word.
# Ho2Al3Ga3 (GGA-PBE, optimized geometry)
# Relative energy among the computed polymorphs = 0.006 eV/atom
# Symmetry = No. 38
# VASP energy = -0.15275 hartree per atom
data_Ho2Al3Ga3
_cell_length_a 4.5802
_cell_length_b 6.2372
_cell_length_c 6.2372
_cell_angle_alpha 60.12
_cell_angle_beta 90.00
_cell_angle_gamma 90.00
_symmetry_space_group_name_H-M 'P 1'
_symmetry_Int_Tables_number 1
loop_
_symmetry_equiv_pos_as_xyz
'x,y,z'
loop_
_atom_site_label
_atom_site_fract_x
_atom_site_fract_y
_atom_site_fract_z
_atom_site_occupancy
Ho1 0.0000 0.0000 0.0000 1
Ho2 0.5000 0.3337 0.3337 1
Al1 0.0000 0.5204 0.5204 1
Al2 0.5000 0.3726 0.8146 1
Al3 0.5000 0.8146 0.3726 1
Ga1 0.0000 0.5171 0.9647 1
Ga2 0.0000 0.9647 0.5171 1
Ga3 0.5000 0.8161 0.8161 1